(1)
A plane-wave DFT calculation with PBE was carried out for CdIn4Ag6 after structural relaxation.

a b c (Å): 8.2483 8.2483 8.2483
angles (deg): 60.83 138.05 138.05
Closest atoms and distances in Å follow each position.
Fractional positions:
Ag 0.0000 0.9022 0.3847  5 In 2.84-3.04, 1 Cd 2.87, 2 Ag 2.92
Ag 0.5000 0.5000 0.0000  4 Ag 2.92, 2 Cd 2.95, 4 In 3.07
Ag 0.0000 0.3847 0.9022  5 In 2.84-3.04, 1 Cd 2.87, 2 Ag 2.92
Ag 0.5000 0.0000 0.5000  4 Ag 2.92, 2 Cd 2.95, 4 In 3.07
Ag 0.4825 0.0978 0.0978  5 In 2.84-3.04, 1 Cd 2.87, 2 Ag 2.92
Ag 0.5175 0.6153 0.6153  5 In 2.84-3.04, 1 Cd 2.87, 2 Ag 2.92
In 0.0000 0.5710 0.1145  7 Ag 2.84-3.07
In 0.4565 0.8855 0.8855  7 Ag 2.84-3.07
In 0.5435 0.4290 0.4290  7 Ag 2.84-3.07
In 0.0000 0.1145 0.5710  7 Ag 2.84-3.07
Cd 0.0000 0.0000 0.0000  8 Ag 2.87-2.95, 4 In 3.19

Properties
Final energy   -28.28 eV per cell
SG   No. 121

---

(2)
A plane-wave DFT calculation with PBE was carried out for BeAlAu6 after structural relaxation.

a b c (Å): 4.3116 4.3116 7.7077
angles (deg): 73.76 73.76 90.00
Closest atoms and distances in Å follow each position.
Fractional positions:
Au 0.7507 0.7507 0.4987  12 Au 2.96-3.05
Au 0.1057 0.6057 0.7886  2 Al 2.62, 2 Be 2.62
Au 0.6057 0.1057 0.7886  2 Be 2.62, 2 Al 2.62
Au 0.2493 0.2493 0.5013  12 Au 2.96-3.05
Au 0.3943 0.8943 0.2114  2 Be 2.62, 2 Al 2.62
Au 0.8943 0.3943 0.2114  2 Al 2.62, 2 Be 2.62
Be 0.0000 0.0000 0.0000  8 Au 2.62
Al 0.5000 0.5000 0.0000  8 Au 2.62

Properties
Relative energy among the computed polymorphs   0.000 eV/atom
Final energy   -28.27 eV per cell
SG   No. 139

---

(3)
A plane-wave DFT calculation with PBE was carried out for KPmS2 after structural relaxation.

a b c (Å): 4.1407 4.1407 7.9323
angles (deg): 74.87 74.87 60.00
Closest atoms and distances in Å follow each position.
Fractional positions:
Pm 0.6675 0.6675 0.9976  6 S 2.85
S 0.2661 0.2661 0.2018  3 Pm 2.85
S 0.0689 0.0689 0.7932  3 Pm 2.85
K 0.4975 0.4975 0.5075  6 S 3.22-3.33

Properties
Uncorrected formation energy   -1.832 eV per atom
Final energy   -21.43 eV per cell
SG   No. 160

---

(4)
A plane-wave DFT calculation with PBE was carried out for Pm6CdCo2Br3 after structural relaxation.

a b c (Å): 3.9663 9.1158 10.4418
angles (deg): 107.21 100.95 90.00
Closest atoms and distances in Å follow each position.
Fractional positions:
Pm 0.6865 0.5746 0.3730  3 Co 2.71-2.78
Pm 0.3342 0.8581 0.6684  2 Co 2.74
Pm 0.6658 0.1419 0.3316  2 Co 2.74
Pm 0.3135 0.4254 0.6270  3 Co 2.71-2.78
Pm 0.9565 0.7186 0.9129  1 Co 2.58
Pm 0.0435 0.2814 0.0871  1 Co 2.58
Cd 0.5000 0.0000 0.0000  6 Pm 3.15-3.25
Br 0.5000 0.5000 0.0000  4 Pm 3.13
Br 0.8264 0.1519 0.6529  5 Pm 3.26-3.37
Br 0.1736 0.8481 0.3471  5 Pm 3.26-3.37
Co 0.1753 0.3546 0.3506  6 Pm 2.58-2.78
Co 0.8247 0.6454 0.6494  6 Pm 2.58-2.78

Properties
Uncorrected formation energy   -0.694 eV per atom
Final energy   -56.98 eV per cell
SG   No. 12

---

(5)
A plane-wave DFT calculation with PBE was carried out for CeCd2Pd8 after structural relaxation.

a b c (Å): 4.3999 7.5990 7.5990
angles (deg): 114.97 106.89 106.89
Closest atoms and distances in Å follow each position.
Fractional positions:
Pd 0.8105 0.0260 0.4199  6 Pd 2.71-2.97, 3 Cd 2.74-2.78, 1 Ce 2.82
Pd 0.0941 0.1611 0.8525  7 Pd 2.71-2.91, 2 Ce 2.96-2.97, 1 Cd 2.99
Pd 0.8105 0.4199 0.0260  6 Pd 2.71-2.97, 3 Cd 2.74-2.78, 1 Ce 2.82
Pd 0.3217 0.8878 0.5792  8 Pd 2.77-2.96, 1 Ce 2.89, 3 Cd 2.92-2.98
Pd 0.3217 0.5792 0.8878  8 Pd 2.77-2.96, 1 Ce 2.89, 3 Cd 2.92-2.98
Pd 0.8219 0.7342 0.7342  8 Pd 2.72-2.96, 2 Cd 2.75, 2 Ce 3.04
Pd 0.0941 0.8525 0.1611  7 Pd 2.71-2.91, 2 Ce 2.96-2.97, 1 Cd 2.99
Pd 0.0384 0.4506 0.4506  6 Pd 2.77-2.97, 1 Ce 2.83, 4 Cd 2.89-2.90
Cd 0.5297 0.2949 0.5884  10 Pd 2.74-2.99
Cd 0.5297 0.5884 0.2949  10 Pd 2.74-2.99
Ce 0.6276 0.0394 0.0394  11 Pd 2.82-3.04

Properties
Relative energy among the computed polymorphs   0.039 eV/atom
Final energy   -54.11 eV per cell
SG   No. 8

---

(6)
A plane-wave DFT calculation with PBE was carried out for KRh2Pb after structural relaxation.

a b c (Å): 9.2989 9.2989 9.2989
angles (deg): 20.91 20.91 20.91
Closest atoms and distances in Å follow each position.
Fractional positions:
K 0.2500 0.2500 0.2500  6 Rh 3.29, 6 K 3.38
Rh 0.0140 0.0140 0.0140  3 Pb 2.72
Rh 0.4860 0.4860 0.4860  3 Pb 2.72
Pb 0.7500 0.7500 0.7500  6 Rh 2.72

Properties
Final energy   -17.70 eV per cell
SG   No. 166

---

(7)
A plane-wave DFT calculation with PBE was carried out for La3PmSe4 after structural relaxation.

a b c (Å): 4.2633 7.4352 7.4352
angles (deg): 109.27 90.00 90.00
Closest atoms and distances in Å follow each position.
Fractional positions:
Se 0.0000 0.2447 0.2447  2 Pm 3.00, 4 La 3.03-3.06
Se 0.5000 0.7527 0.2473  1 Pm 3.00, 5 La 3.03-3.06
Se 0.5000 0.2473 0.7527  1 Pm 3.00, 5 La 3.03-3.06
Se 0.0000 0.7553 0.7553  2 Pm 3.00, 4 La 3.03-3.06
La 0.5000 0.5000 0.5000  6 Se 3.06
La 0.0000 0.5000 0.0000  6 Se 3.03
La 0.0000 0.0000 0.5000  6 Se 3.03
Pm 0.5000 0.0000 0.0000  6 Se 3.00

Properties
Relative energy among the computed polymorphs   0.003 eV/atom
Uncorrected formation energy   -1.960 eV per atom
Final energy   -49.15 eV per cell
SG   No. 65

---

(8)
A plane-wave DFT calculation with PBE was carried out for SrPW2 after structural relaxation.

a b c (Å): 4.6928 4.6928 4.6928
angles (deg): 60.00 60.00 60.00
Closest atoms and distances in Å follow each position.
Fractional positions:
P 0.5000 0.5000 0.5000  4 W 2.87, 4 Sr 2.87
W 0.7500 0.7500 0.7500  4 P 2.87, 4 W 2.87
W 0.0000 0.0000 0.0000  4 W 2.87, 4 Sr 2.87
Sr 0.2500 0.2500 0.2500  4 P 2.87, 4 W 2.87

Properties
Final energy   -29.50 eV per cell
SG   No. 216